CsAsOs3 | PBE | relaxed

Calculated values
The magnetization is 3.72 μB per formula unit. Its formation energy is 4.040 eV per atom. The total energy is -3.798 eV per atom. For the excess energy over the best structure of this formula in the dataset, the calculation gives 2.063 eV per atom.

a = 4.9576 Å, b = 4.9576 Å, c = 4.9576 Å
α = 90.00°, β = 90.00°, γ = 90.00°
Last column: nearest neighbours and their distance in Å.
Positions (direct):
Os (0.0000, 0.5000, 0.0000)  2 Cs 2.48
Os (0.5000, 0.0000, 0.0000)  2 Cs 2.48
Os (0.0000, 0.0000, 0.5000)  2 Cs 2.48
Cs (0.0000, 0.0000, 0.0000)  6 Os 2.48
As (0.5000, 0.5000, 0.5000)  12 Os 3.51